# HoLu2Pa | Alexandria via LeMat-Bulk | GGA-PBE | optimized geometry
data_HoLu2Pa
_symmetry_space_group_name_H-M 'P 4/m m m'
_symmetry_Int_Tables_number 123
_symmetry_space_group_name_Hall '-P 4 2'
_cell_length_a 5.6623
_cell_length_b 5.6623
_cell_length_c 3.5577
_cell_angle_alpha 90.00
_cell_angle_beta 90.00
_cell_angle_gamma 90.00
loop_
_atom_site_label
_atom_site_type_symbol
_atom_site_fract_x
_atom_site_fract_y
_atom_site_fract_z
_atom_site_occupancy
Ho1 Ho 0.0000 0.0000 0.0000 1
Lu1 Lu 0.0000 0.5000 0.5000 1
Pa1 Pa 0.5000 0.5000 0.0000 1
# * DFT formation energy: 0.26 eV per atom
# * electronic total energy: -5.52 eV/atom
# * energy above the most stable polymorph in this dataset: 146 meV/atom

# Sm2DyUSb4 | Alexandria via LeMat-Bulk | GGA-PBE | optimized geometry
data_Sm2DyUSb4
_symmetry_space_group_name_H-M 'P 1 2/m 1'
_symmetry_Int_Tables_number 10
_cell_length_a 7.6541
_cell_length_b 4.4031
_cell_length_c 7.6923
_cell_angle_alpha 90.00
_cell_angle_beta 109.07
_cell_angle_gamma 90.00
loop_
_symmetry_equiv_pos_as_xyz
'x,y,z'
'-x,-y,-z'
'-x,y,-z'
'x,-y,z'
loop_
_atom_site_label
_atom_site_type_symbol
_atom_site_fract_x
_atom_site_fract_y
_atom_site_fract_z
_atom_site_occupancy
Sm1 Sm 0.0000 0.0000 0.0000 1
Sm2 Sm 0.0000 0.5000 0.5000 1
Dy1 Dy 0.5000 0.0000 0.5000 1
U1 U 0.5000 0.5000 0.0000 1
Sb1 Sb 0.2553 0.0000 0.7511 1
Sb2 Sb 0.2572 0.5000 0.2510 1
# * electronic total energy: -6.14 eV/atom
# * uncorrected formation energy: -0.911 eV per atom

Question: Among the records above, which one has the highest electronic total energy?
Answer: HoLu2Pa